(1)
# LiMo3Pb5, optimized geometry, DFT PBE
data_LiMo3Pb5
_chemical_formula_sum 'Li1 Mo3 Pb5'
_cell_length_a 5.6038
_cell_length_b 5.6038
_cell_length_c 8.9125
_cell_angle_alpha 90.00
_cell_angle_beta 90.00
_cell_angle_gamma 120.00
_symmetry_space_group_name_H-M 'P 6/m m m'
_symmetry_Int_Tables_number 191
_symmetry_space_group_name_Hall '-P 6 2'
loop_
_atom_site_label
_atom_site_type_symbol
_atom_site_fract_x
_atom_site_fract_y
_atom_site_fract_z
_atom_site_occupancy
Li1 Li 0.0000 0.0000 0.0000 1
Mo1 Mo 0.0000 0.5000 0.5000 1
Pb1 Pb 0.0000 0.0000 0.5000 1
Pb2 Pb 0.3333 0.6667 0.2118 1
# V	26.93	Å³ per atom
# VASP energy	-5.55	eV per atom

---

(2)
# LiTcMoPb, optimized geometry, DFT PBE
data_LiTcMoPb
_chemical_formula_sum 'Li4 Tc4 Mo4 Pb4'
_cell_length_a 6.382
_cell_length_b 6.382
_cell_length_c 6.382
_cell_angle_alpha 90.00
_cell_angle_beta 90.00
_cell_angle_gamma 90.00
_symmetry_space_group_name_H-M 'F -4 3 m'
_symmetry_Int_Tables_number 216
_symmetry_space_group_name_Hall 'F -4 2 3'
loop_
_atom_site_label
_atom_site_type_symbol
_atom_site_fract_x
_atom_site_fract_y
_atom_site_fract_z
_atom_site_occupancy
Li1 Li 0.000 0.000 0.000 1
Tc1 Tc 0.000 0.000 0.500 1
Mo1 Mo 0.250 0.250 0.750 1
Pb1 Pb 0.250 0.250 0.250 1
# distance to the lowest polymorph of the same formula	0.0	meV/atom
# V	16.25	Å³ per atom
# VASP energy	-6.47	eV per atom

---

(3)
# Li2MoPd, optimized geometry, DFT PBE
data_Li2MoPd
_chemical_formula_sum 'Li8 Mo4 Pd4'
_cell_length_a 6.059
_cell_length_b 6.059
_cell_length_c 6.059
_cell_angle_alpha 90.00
_cell_angle_beta 90.00
_cell_angle_gamma 90.00
_symmetry_space_group_name_H-M 'F -4 3 m'
_symmetry_Int_Tables_number 216
_symmetry_space_group_name_Hall 'F -4 2 3'
loop_
_atom_site_label
_atom_site_type_symbol
_atom_site_fract_x
_atom_site_fract_y
_atom_site_fract_z
_atom_site_occupancy
Li1 Li 0.000 0.000 0.000 1
Li2 Li 0.250 0.250 0.250 1
Mo1 Mo 0.250 0.250 0.750 1
Pd1 Pd 0.000 0.000 0.500 1
# V	13.91	Å³ per atom
# VASP energy	-4.76	eV per atom

---

Repeat the second record exactly.
# LiTcMoPb, optimized geometry, DFT PBE
data_LiTcMoPb
_chemical_formula_sum 'Li4 Tc4 Mo4 Pb4'
_cell_length_a 6.382
_cell_length_b 6.382
_cell_length_c 6.382
_cell_angle_alpha 90.00
_cell_angle_beta 90.00
_cell_angle_gamma 90.00
_symmetry_space_group_name_H-M 'F -4 3 m'
_symmetry_Int_Tables_number 216
_symmetry_space_group_name_Hall 'F -4 2 3'
loop_
_atom_site_label
_atom_site_type_symbol
_atom_site_fract_x
_atom_site_fract_y
_atom_site_fract_z
_atom_site_occupancy
Li1 Li 0.000 0.000 0.000 1
Tc1 Tc 0.000 0.000 0.500 1
Mo1 Mo 0.250 0.250 0.750 1
Pb1 Pb 0.250 0.250 0.250 1
# distance to the lowest polymorph of the same formula	0.0	meV/atom
# V	16.25	Å³ per atom
# VASP energy	-6.47	eV per atom

---

> Look up the V of the third one.

13.91 Å³ per atom

---

> What is the V in the third record?

13.91 Å³ per atom